# KGa2AgAu2 (PBE, optimized geometry)
# Calculated total energy, eV per atom: -3.01
# Symmetry: P-3m1, No. 164
# Energy relative to the elements, eV per atom: -0.254
data_KGa2AgAu2
_chemical_formula_sum 'K1 Ga2 Ag1 Au2'
_cell_length_a 4.500
_cell_length_b 4.500
_cell_length_c 7.975
_cell_angle_alpha 90.00
_cell_angle_beta 90.00
_cell_angle_gamma 120.00
_symmetry_space_group_name_H-M 'P 1'
_symmetry_Int_Tables_number 1
_symmetry_space_group_name_Hall 'P 1'
loop_
_atom_site_label
_atom_site_fract_x
_atom_site_fract_y
_atom_site_fract_z
Ga1 0.667 0.333 0.316
Ga2 0.333 0.667 0.684
Au1 0.333 0.667 0.321
Au2 0.667 0.333 0.679
K1 0.000 0.000 0.000
Ag1 0.000 0.000 0.500